# 1
The following is a DFT calculation (GGA-PBE) of a relaxed structure of PmMg2Zn4.

abc: 5.5519 5.6451 5.6451
angles: 76.01 60.54 60.54
Last column: nearest neighbours and their distance in Å.
Atoms (fractional coordinates):
Pm1 0.0000 0.0000 0.0000  12 Zn 3.06-3.34
Mg1 0.7500 0.5000 0.5000  2 Mg 2.78, 8 Zn 2.89
Mg2 0.2500 0.5000 0.5000  2 Mg 2.78, 8 Zn 2.89
Zn1 0.6887 0.0000 0.6227  2 Zn 2.62, 4 Mg 2.89
Zn2 0.3113 0.0000 0.3773  2 Zn 2.62, 4 Mg 2.89
Zn3 0.3113 0.3773 0.0000  2 Zn 2.62, 4 Mg 2.89
Zn4 0.6887 0.6227 0.0000  2 Zn 2.62, 4 Mg 2.89

## Properties
Relative energy among the computed polymorphs: 0.00 eV/f.u.
Formation energy: -0.23 eV per atom
V: 19.16 Å³ per atom


# 2
The following is a DFT calculation (GGA-PBE) of a relaxed structure of MgBe2Si2.

abc: 3.8942 3.8772 5.6919
angles: 95.20 95.44 119.00
Last column: nearest neighbours and their distance in Å.
Atoms (fractional coordinates):
Be1 0.4355 0.2584 0.3274  4 Si 2.25-2.32, 1 Be 2.42
Be2 0.5645 0.7416 0.6726  4 Si 2.25-2.32, 1 Be 2.42
Si1 0.7704 0.9167 0.3103  4 Be 2.25-2.32, 1 Si 2.48
Si2 0.2296 0.0833 0.6897  4 Be 2.25-2.32, 1 Si 2.48
Mg1 0.0000 0.5000 0.0000  6 Si 2.78-2.92, 6 Be 2.88-2.93

## Properties
ΔE_f (raw): 0.09 eV/atom
V: 14.78 Å³ per atom


# 3
The following is a DFT calculation (GGA-PBE) of a relaxed structure of SbPt2Br.

abc: 4.7065 4.7065 3.5561
angles: 90.00 90.00 99.71
Last column: nearest neighbours and their distance in Å.
Atoms (fractional coordinates):
Sb1 0.5000 0.0000 0.5000  8 Pt 2.95, 2 Br 3.03
Br1 0.0000 0.5000 0.5000  8 Pt 2.95, 2 Sb 3.03
Pt1 0.0000 0.0000 0.0000  4 Sb 2.95, 4 Br 2.95, 2 Pt 3.03
Pt2 0.5000 0.5000 0.0000  4 Br 2.95, 4 Sb 2.95, 2 Pt 3.03

## Properties
Relative energy among the computed polymorphs: 2.01 eV/f.u.
ΔE_f (raw): 0.36 eV/atom
V: 19.41 Å³ per atom


# 4
The following is a DFT calculation (GGA-PBE) of a relaxed structure of CaMgAlTl.

abc: 5.1757 5.1757 5.1757
angles: 60.00 60.00 60.00
Last column: nearest neighbours and their distance in Å.
Atoms (fractional coordinates):
Mg1 0.7500 0.7500 0.7500  4 Al 3.17, 4 Tl 3.17
Tl1 0.0000 0.0000 0.0000  4 Mg 3.17, 4 Ca 3.17
Ca1 0.2500 0.2500 0.2500  4 Tl 3.17, 4 Al 3.17
Al1 0.5000 0.5000 0.5000  4 Mg 3.17, 4 Ca 3.17

## Properties
Formation energy: -0.16 eV per atom
V: 24.51 Å³ per atom


# 5
The following is a DFT calculation (GGA-PBE) of a relaxed structure of SmDy2H.

abc: 3.3636 3.3636 8.5364
angles: 90.00 90.00 90.00
Last column: nearest neighbours and their distance in Å.
Atoms (fractional coordinates):
H1 0.5000 0.5000 0.0000  8 Dy 2.88
Sm1 0.5000 0.5000 0.5000  4 Sm 3.36, 8 Dy 3.56
Dy1 0.0000 0.0000 0.8103  4 H 2.88
Dy2 0.0000 0.0000 0.1897  4 H 2.88

## Properties
Relative energy among the computed polymorphs: 1.27 eV/f.u.
V: 24.14 Å³ per atom


# 6
The following is a DFT calculation (GGA-PBE) of a relaxed structure of Nd2ErH.

abc: 3.6732 3.6732 9.0185
angles: 78.25 78.25 60.00
Last column: nearest neighbours and their distance in Å.
Atoms (fractional coordinates):
H1 0.0000 0.0000 0.0000  6 Nd 2.58
Nd1 0.7228 0.7228 0.8317  3 H 2.58
Nd2 0.2772 0.2772 0.1683  3 H 2.58
Er1 0.5000 0.5000 0.5000  6 Nd 3.60, 6 Er 3.67

## Properties
Relative energy among the computed polymorphs: 0.00 eV/f.u.
V: 25.61 Å³ per atom


Question: Which value of V does entry 5 give?
Answer: 24.14 Å³ per atom